(1)
{"formula": "PmSbAs2", "functional": "PBE-GGA", "state": "optimized geometry", "lattice_angstrom": [[-2.0791, 4.0441, -2.4135], [-5.0679, 0.1376, -0.8942], [-2.9838, 3.2935, 2.5985]], "species": ["Sb", "As", "As", "Pm"], "frac_coords": [[0.5000, 0.5000, 0.5000], [0.7500, 0.7500, 0.7500], [0.2500, 0.2500, 0.2500], [0.0000, 0.0000, 0.0000]], "dos_at_fermi_per_ev_fu": 1.398, "final_energy_ry_per_atom": -0.3607, "e_form_raw_ev_per_atom": -0.365, "polymorph_energy_mev_per_atom": 181.7}

***

(2)
{"formula": "PmSbAs", "functional": "PBE-GGA", "state": "optimized geometry", "lattice_angstrom": [[4.1157, 0.0000, 0.0000], [0.0000, 4.8831, 0.0000], [0.0000, -2.4415, 4.2289]], "species": ["Sb", "As", "Pm"], "frac_coords": [[0.6667, 0.6667, 0.3333], [0.1666, 0.3333, 0.6667], [0.1667, 0.0000, 0.0000]], "dos_at_fermi_per_ev_fu": 3.225, "final_energy_ry_per_atom": -0.3612, "e_form_raw_ev_per_atom": -0.407, "polymorph_energy_mev_per_atom": 391.0}

***

(3)
{"formula": "Pm6SbAs5", "functional": "PBE-GGA", "state": "optimized geometry", "lattice_angstrom": [[-7.1008, 1.9342, 0.9223], [1.7284, -6.9617, -1.8869], [2.1959, -0.0567, 7.0811]], "species": ["Pm", "Pm", "Pm", "Pm", "Pm", "Pm", "As", "As", "As", "As", "As", "Sb"], "frac_coords": [[0.2582, 0.2582, 0.7453], [0.5716, 0.9149, 0.7449], [0.7418, 0.7418, 0.2547], [0.9149, 0.5716, 0.7449], [0.0851, 0.4284, 0.2551], [0.4284, 0.0851, 0.2551], [0.6668, 0.3332, 0.0000], [0.5000, 0.5000, 0.5000], [0.8357, 0.1643, 0.5000], [0.1643, 0.8357, 0.5000], [0.3332, 0.6668, 0.0000], [0.0000, 0.0000, 0.0000]], "dos_at_fermi_per_ev_fu": 1.814, "final_energy_ry_per_atom": -0.4492, "e_form_raw_ev_per_atom": -1.456}

***

(4)
{"formula": "PmSbAs2", "functional": "PBE-GGA", "state": "optimized geometry", "lattice_angstrom": [[-0.2520, 2.5793, -2.9888], [-3.3933, 1.3890, 1.4848], [3.1510, 4.1517, 3.3172]], "species": ["Pm", "As", "As", "Sb"], "frac_coords": [[0.5000, 0.5000, 0.0000], [0.0000, 0.0000, 0.7739], [0.0000, 0.0000, 0.2261], [0.5000, 0.5000, 0.5000]], "dos_at_fermi_per_ev_fu": 1.922, "final_energy_ry_per_atom": -0.3689, "e_form_raw_ev_per_atom": -0.476, "polymorph_energy_mev_per_atom": 70.8}

***

(5)
{"formula": "PmSbAs2", "functional": "PBE-GGA", "state": "optimized geometry", "lattice_angstrom": [[3.9290, 0.0000, 0.0000], [0.0000, 4.8979, 0.0000], [0.0000, 0.0000, 4.8979]], "species": ["Sb", "As", "As", "Pm"], "frac_coords": [[0.5000, 0.0000, 0.0000], [0.0000, 0.5000, 0.0000], [0.0000, 0.0000, 0.5000], [0.5000, 0.5000, 0.5000]], "dos_at_fermi_per_ev_fu": 1.839, "final_energy_ry_per_atom": -0.3741, "e_form_raw_ev_per_atom": -0.547, "polymorph_energy_mev_per_atom": 0.0}

***

(6)
{"formula": "Pm6Sb5As", "functional": "PBE-GGA", "state": "optimized geometry", "lattice_angstrom": [[7.6208, 0.1879, 1.1589], [1.8740, 6.4673, 3.7703], [0.1291, 0.0717, 7.7105]], "species": ["As", "Pm", "Pm", "Pm", "Pm", "Pm", "Pm", "Sb", "Sb", "Sb", "Sb", "Sb"], "frac_coords": [[0.0000, 0.0000, 0.0000], [0.2464, 0.2410, 0.0000], [0.2433, 0.9191, 0.6768], [0.7567, 0.4041, 0.6768], [0.7567, 0.0809, 0.3232], [0.7536, 0.7590, 0.0000], [0.2433, 0.5959, 0.3232], [0.5000, 0.8298, 0.3405], [0.0000, 0.6661, 0.6678], [0.0000, 0.3339, 0.3322], [0.5000, 0.5000, 0.0000], [0.5000, 0.1702, 0.6595]], "dos_at_fermi_per_ev_fu": 1.830, "final_energy_ry_per_atom": -0.4198, "e_form_raw_ev_per_atom": -1.232}

***

(7)
{"formula": "Pm5Sb2As2", "functional": "PBE-GGA", "state": "optimized geometry", "lattice_angstrom": [[8.1558, 0.0000, 0.0000], [0.0000, 7.1867, -3.6944], [0.0000, -0.0510, 8.7380]], "species": ["Pm", "Pm", "Pm", "Pm", "Pm", "Pm", "Pm", "Pm", "Pm", "Pm", "As", "As", "As", "As", "Sb", "Sb", "Sb", "Sb"], "frac_coords": [[0.6598, 0.0313, 0.7416], [0.3402, 0.7103, 0.7416], [0.1598, 0.2103, 0.7416], [0.8402, 0.7897, 0.2584], [0.0000, 0.0000, 0.0000], [0.8402, 0.5313, 0.7416], [0.5000, 0.5000, 0.0000], [0.6598, 0.2897, 0.2584], [0.1598, 0.4687, 0.2584], [0.3402, 0.9687, 0.2584], [0.6439, 0.8549, 0.0000], [0.1439, 0.6451, 0.0000], [0.3561, 0.1451, 0.0000], [0.8561, 0.3549, 0.0000], [0.5000, 0.7024, 0.4048], [0.5000, 0.2976, 0.5952], [0.0000, 0.7976, 0.5952], [0.0000, 0.2024, 0.4048]], "dos_at_fermi_per_ev_fu": 8.358, "final_energy_ry_per_atom": -0.4232, "e_form_raw_ev_per_atom": -1.169}

***

(8)
{"formula": "PmSbAs", "functional": "PBE-GGA", "state": "optimized geometry", "lattice_angstrom": [[4.0462, 0.0000, 0.0000], [0.0000, 4.0462, 0.0000], [-2.0231, -2.0231, 5.1301]], "species": ["Sb", "As", "Pm"], "frac_coords": [[0.0203, 0.0203, 0.0405], [0.2836, 0.2836, 0.5671], [0.6962, 0.6962, 0.3924]], "dos_at_fermi_per_ev_fu": 1.372, "final_energy_ry_per_atom": -0.3856, "e_form_raw_ev_per_atom": -0.739, "polymorph_energy_mev_per_atom": 59.4}

***

(9)
{"formula": "Pm4SbAs2Se", "functional": "PBE-GGA", "state": "optimized geometry", "lattice_angstrom": [[-2.3040, 1.2584, -3.3953], [-6.2367, -2.3631, 3.3563], [-2.8820, 5.5450, 4.0108]], "species": ["Pm", "Pm", "Pm", "Pm", "Sb", "As", "As", "Se"], "frac_coords": [[0.5000, 0.2361, 0.7580], [0.5000, 0.7639, 0.2420], [0.0000, 0.7627, 0.7483], [0.0000, 0.2373, 0.2517], [0.0000, 0.5000, 0.5000], [0.0000, 0.0000, 0.0000], [0.5000, 0.0000, 0.5000], [0.5000, 0.5000, 0.0000]], "dos_at_fermi_per_ev_fu": 1.543, "final_energy_ry_per_atom": -0.4439, "e_form_raw_ev_per_atom": -1.551}

***

(10)
{"formula": "Pm6SbAs3Se2", "functional": "PBE-GGA", "state": "optimized geometry", "lattice_angstrom": [[-2.1585, 3.4001, 1.4171], [-4.9974, -5.1289, 4.6938], [8.1239, 0.3743, 5.0444]], "species": ["As", "As", "As", "Sb", "Se", "Se", "Pm", "Pm", "Pm", "Pm", "Pm", "Pm"], "frac_coords": [[0.8337, 0.1684, 0.6675], [0.5000, 0.5000, 0.0000], [0.1663, 0.8316, 0.3325], [0.5000, 0.0000, 0.0000], [0.1685, 0.3361, 0.3369], [0.8315, 0.6639, 0.6631], [0.0012, 0.7390, 0.0025], [0.9988, 0.2610, 0.9975], [0.3288, 0.9214, 0.6577], [0.6641, 0.5895, 0.3282], [0.3359, 0.4105, 0.6718], [0.6712, 0.0786, 0.3423]], "dos_at_fermi_per_ev_fu": 4.055, "final_energy_ry_per_atom": -0.4463, "e_form_raw_ev_per_atom": -1.611}

***

(11)
{"formula": "Pm4Sb2AsSe", "functional": "PBE-GGA", "state": "optimized geometry", "lattice_angstrom": [[-0.3245, 4.2593, -0.8566], [-7.0411, -1.0478, -2.5430], [-4.8600, 0.7781, 5.7100]], "species": ["Pm", "Pm", "Pm", "Pm", "Se", "Sb", "Sb", "As"], "frac_coords": [[0.5000, 0.2641, 0.7415], [0.5000, 0.7359, 0.2585], [0.0000, 0.2612, 0.2507], [0.0000, 0.7388, 0.7493], [0.5000, 0.5000, 0.0000], [0.0000, 0.0000, 0.0000], [0.5000, 0.0000, 0.5000], [0.0000, 0.5000, 0.5000]], "dos_at_fermi_per_ev_fu": 1.608, "final_energy_ry_per_atom": -0.4318, "e_form_raw_ev_per_atom": -1.452}

***

(12)
{"formula": "Pm6Sb2AsSe3", "functional": "PBE-GGA", "state": "optimized geometry", "lattice_angstrom": [[-1.5356, 3.6616, -1.6780], [-3.1248, -4.3925, -6.7252], [-6.3535, -2.0090, 6.9673]], "species": ["As", "Se", "Se", "Se", "Pm", "Pm", "Pm", "Pm", "Pm", "Pm", "Sb", "Sb"], "frac_coords": [[0.5000, 0.0000, 0.0000], [0.8316, 0.1650, 0.6631], [0.5000, 0.5000, 0.0000], [0.1684, 0.8350, 0.3369], [0.6626, 0.5900, 0.3251], [0.9975, 0.2378, 0.9950], [0.0025, 0.7622, 0.0050], [0.3375, 0.4100, 0.6749], [0.3384, 0.9264, 0.6769], [0.6616, 0.0736, 0.3231], [0.8330, 0.6658, 0.6660], [0.1670, 0.3342, 0.3340]], "dos_at_fermi_per_ev_fu": 4.810, "final_energy_ry_per_atom": -0.4340, "e_form_raw_ev_per_atom": -1.584}

***

(13)
{"formula": "Pm6Sb3As2Se", "functional": "PBE-GGA", "state": "optimized geometry", "lattice_angstrom": [[-4.2057, -1.0591, 0.3720], [1.9644, -8.3683, -1.6147], [2.7748, 1.1855, 9.2786]], "species": ["As", "As", "Se", "Sb", "Sb", "Sb", "Pm", "Pm", "Pm", "Pm", "Pm", "Pm"], "frac_coords": [[0.1665, 0.3326, 0.3330], [0.8335, 0.6674, 0.6670], [0.5000, 0.0000, 0.0000], [0.1653, 0.8337, 0.3306], [0.8347, 0.1663, 0.6694], [0.5000, 0.5000, 0.0000], [0.9956, 0.7525, 0.9913], [0.3295, 0.4257, 0.6591], [0.6657, 0.0946, 0.3314], [0.3343, 0.9054, 0.6686], [0.0044, 0.2475, 0.0087], [0.6705, 0.5743, 0.3409]], "dos_at_fermi_per_ev_fu": 2.199, "final_energy_ry_per_atom": -0.4329, "e_form_raw_ev_per_atom": -1.419}

***

(14)
{"formula": "Pm6SbAs2Se3", "functional": "PBE-GGA", "state": "optimized geometry", "lattice_angstrom": [[-3.2078, 0.2769, -2.7964], [5.5500, -0.8008, -6.4458], [-0.7734, -8.9410, 3.2535]], "species": ["As", "As", "Se", "Se", "Se", "Pm", "Pm", "Pm", "Pm", "Pm", "Pm", "Sb"], "frac_coords": [[0.1674, 0.3345, 0.3347], [0.8326, 0.6655, 0.6653], [0.5000, 0.5000, 0.0000], [0.8355, 0.1671, 0.6710], [0.1645, 0.8329, 0.3290], [0.3300, 0.4225, 0.6600], [0.0041, 0.2607, 0.0082], [0.3291, 0.9042, 0.6581], [0.6709, 0.0958, 0.3419], [0.6700, 0.5775, 0.3400], [0.9959, 0.7393, 0.9918], [0.5000, 0.0000, 0.0000]], "dos_at_fermi_per_ev_fu": 4.621, "final_energy_ry_per_atom": -0.4427, "e_form_raw_ev_per_atom": -1.658}

***

(15)
{"formula": "Pm6Sb3AsSe2", "functional": "PBE-GGA", "state": "optimized geometry", "lattice_angstrom": [[4.3593, 0.0000, 0.0000], [0.0000, 8.7070, 0.3055], [-2.1796, -2.5118, 9.1669]], "species": ["Sb", "Sb", "Sb", "Pm", "Pm", "Pm", "Pm", "Pm", "Pm", "Se", "Se", "As"], "frac_coords": [[0.5000, 0.5000, 0.0000], [0.8318, 0.1669, 0.6635], [0.1682, 0.8331, 0.3365], [0.6677, 0.5784, 0.3354], [0.3388, 0.9143, 0.6776], [0.3323, 0.4216, 0.6646], [0.9986, 0.7618, 0.9971], [0.6612, 0.0857, 0.3224], [0.0014, 0.2382, 0.0029], [0.8330, 0.6658, 0.6660], [0.1670, 0.3342, 0.3340], [0.5000, 0.0000, 0.0000]], "dos_at_fermi_per_ev_fu": 4.004, "final_energy_ry_per_atom": -0.4298, "e_form_raw_ev_per_atom": -1.473}

***

(16)
{"formula": "TbPmSbAs", "functional": "PBE-GGA", "state": "optimized geometry", "lattice_angstrom": [[-3.8718, -1.5825, -1.1374], [1.9383, -2.8666, -2.6101], [0.2824, -3.9992, 4.6030]], "species": ["Pm", "Sb", "As", "Tb"], "frac_coords": [[0.0000, 0.8916, 0.5922], [0.5000, 0.3916, 0.5926], [0.0000, 0.8914, 0.0923], [0.5000, 0.3914, 0.0926]], "dos_at_fermi_per_ev_fu": 0.549, "final_energy_ry_per_atom": -0.4282, "e_form_raw_ev_per_atom": -1.287}

***

(17)
{"formula": "Pm6SbTe3As2", "functional": "PBE-GGA", "state": "optimized geometry", "lattice_angstrom": [[-0.0198, 0.9451, 4.2621], [1.3302, -8.5628, 1.9049], [8.8944, 3.2205, -2.9087]], "species": ["Sb", "As", "As", "Te", "Te", "Te", "Pm", "Pm", "Pm", "Pm", "Pm", "Pm"], "frac_coords": [[0.5000, 0.0000, 0.0000], [0.8321, 0.6645, 0.6642], [0.1679, 0.3355, 0.3358], [0.5000, 0.5000, 0.0000], [0.8368, 0.1670, 0.6736], [0.1632, 0.8330, 0.3264], [0.0105, 0.2512, 0.0211], [0.9895, 0.7488, 0.9789], [0.6744, 0.5683, 0.3488], [0.3256, 0.4317, 0.6512], [0.3321, 0.8917, 0.6641], [0.6679, 0.1083, 0.3359]], "dos_at_fermi_per_ev_fu": 5.038, "final_energy_ry_per_atom": -0.4227, "e_form_raw_ev_per_atom": -1.471}

***

(18)
{"formula": "Pm6Sb2Te3As", "functional": "PBE-GGA", "state": "optimized geometry", "lattice_angstrom": [[-0.4888, 1.7219, 4.0426], [6.6660, -5.1377, 2.9942], [4.7074, 7.2744, -4.9468]], "species": ["Pm", "Pm", "Pm", "Pm", "Pm", "Pm", "As", "Te", "Te", "Te", "Sb", "Sb"], "frac_coords": [[0.0007, 0.2264, 0.0014], [0.6675, 0.5775, 0.3350], [0.6556, 0.0825, 0.3112], [0.9993, 0.7736, 0.9986], [0.3325, 0.4225, 0.6650], [0.3444, 0.9175, 0.6888], [0.5000, 0.0000, 0.0000], [0.8304, 0.1649, 0.6608], [0.5000, 0.5000, 0.0000], [0.1696, 0.8351, 0.3392], [0.1664, 0.3325, 0.3328], [0.8336, 0.6675, 0.6672]], "dos_at_fermi_per_ev_fu": 5.161, "final_energy_ry_per_atom": -0.4145, "e_form_raw_ev_per_atom": -1.404}

***

(19)
{"formula": "Pm6SbTe2As3", "functional": "PBE-GGA", "state": "optimized geometry", "lattice_angstrom": [[4.3300, 0.0000, 0.0000], [0.0000, 8.7774, 0.2342], [-2.1650, -2.6160, 9.1812]], "species": ["Pm", "Pm", "Pm", "Pm", "Pm", "Pm", "Te", "Te", "As", "As", "As", "Sb"], "frac_coords": [[0.9947, 0.2579, 0.9895], [0.6702, 0.0678, 0.3404], [0.6596, 0.5999, 0.3192], [0.3404, 0.4001, 0.6808], [0.0053, 0.7421, 0.0105], [0.3298, 0.9322, 0.6596], [0.8322, 0.6639, 0.6645], [0.1678, 0.3361, 0.3355], [0.8326, 0.1662, 0.6652], [0.5000, 0.5000, 0.0000], [0.1674, 0.8338, 0.3348], [0.5000, 0.0000, 0.0000]], "dos_at_fermi_per_ev_fu": 4.218, "final_energy_ry_per_atom": -0.4329, "e_form_raw_ev_per_atom": -1.485}

***

(20)
{"formula": "Pm4Sb2TeAs", "functional": "PBE-GGA", "state": "optimized geometry", "lattice_angstrom": [[-0.8261, 1.4061, 4.1097], [-3.4875, -6.6275, 1.5666], [5.1478, -4.9959, 2.7441]], "species": ["Sb", "Sb", "Pm", "Pm", "Pm", "Pm", "As", "Te"], "frac_coords": [[0.5000, 0.0000, 0.5000], [0.0000, 0.0000, 0.0000], [0.5000, 0.2591, 0.7364], [0.0000, 0.7487, 0.7386], [0.5000, 0.7409, 0.2636], [0.0000, 0.2513, 0.2614], [0.0000, 0.5000, 0.5000], [0.5000, 0.5000, 0.0000]], "dos_at_fermi_per_ev_fu": 1.681, "final_energy_ry_per_atom": -0.4212, "e_form_raw_ev_per_atom": -1.351}

***

(21)
{"formula": "Pm8Sb3Te4As", "functional": "PBE-GGA", "state": "optimized geometry", "lattice_angstrom": [[-3.8275, -8.0227, -0.0666], [7.0433, -3.3238, -4.3903], [1.2081, 4.2844, 7.6941]], "species": ["Pm", "Pm", "Pm", "Pm", "Pm", "Pm", "Pm", "Pm", "Te", "Te", "Te", "Te", "Sb", "Sb", "Sb", "As"], "frac_coords": [[0.2444, 0.2680, 0.0062], [0.7556, 0.7320, 0.9938], [0.7616, 0.2678, 0.5232], [0.2384, 0.7322, 0.4768], [0.7467, 0.7401, 0.4934], [0.2382, 0.7320, 0.9938], [0.2533, 0.2599, 0.5066], [0.7618, 0.2680, 0.0062], [0.0000, 0.0000, 0.5000], [0.5000, 0.0000, 0.5000], [0.0000, 0.0000, 0.0000], [0.5000, 0.0000, 0.0000], [0.5000, 0.5000, 0.5000], [0.0000, 0.5000, 0.5000], [0.5000, 0.5000, 0.0000], [0.0000, 0.5000, 0.0000]], "dos_at_fermi_per_ev_fu": 7.695, "final_energy_ry_per_atom": -0.4122, "e_form_raw_ev_per_atom": -1.384}

***

(22)
{"formula": "Pm4SbTe2As", "functional": "PBE-GGA", "state": "optimized geometry", "lattice_angstrom": [[4.3957, 0.0000, 0.0000], [0.0000, 7.6398, 0.1351], [0.0000, -2.6678, 7.2551]], "species": ["Sb", "Pm", "Pm", "Pm", "Pm", "As", "Te", "Te"], "frac_coords": [[0.0000, 0.0000, 0.0000], [0.0000, 0.7312, 0.2253], [0.5000, 0.2558, 0.2323], [0.5000, 0.7442, 0.7677], [0.0000, 0.2688, 0.7747], [0.5000, 0.5000, 0.0000], [0.0000, 0.5000, 0.5000], [0.5000, 0.0000, 0.5000]], "dos_at_fermi_per_ev_fu": 3.828, "final_energy_ry_per_atom": -0.4181, "e_form_raw_ev_per_atom": -1.431}

***

(23)
{"formula": "PmThSbAs", "functional": "PBE-GGA", "state": "optimized geometry", "lattice_angstrom": [[-0.2772, 4.0779, -1.5142], [-2.8390, 2.7938, 1.7701], [3.9600, 4.3818, 4.8019]], "species": ["As", "Th", "Pm", "Sb"], "frac_coords": [[0.1939, 0.1939, 0.4182], [0.4505, 0.4505, 0.6484], [0.9379, 0.9379, 0.1862], [0.6940, 0.6940, 0.9180]], "dos_at_fermi_per_ev_fu": 2.013, "final_energy_ry_per_atom": -0.4773, "e_form_raw_ev_per_atom": -1.258}

***

Total magnetic moment (computed, μB per cell): 0.00, 0.00, 0.00, 0.00, 0.00, 0.00, 0.00, 0.00, 0.00, 0.00, 0.00, 0.00, 0.00, 0.00, 0.00, 0.00, 0.00, 0.00, 0.00, 0.00, 0.00, 0.00, 0.00